## Ce2NiIr3 (PBE-GGA)

Data for a relaxed structure of Ce2NiIr3.

Energy relative to the lowest polymorph listed for this composition: 68 meV/atom
Calculated volume: 213 Å³ per cell
Spin magnetization: 0.0 μB per formula unit
E: -96.39 eV/cell
Crystal system: hexagonal
Energy of formation from the pure elements: -0.661 eV/atom

a b c (Å): 5.4434 5.4434 8.3195
angles (deg): 90.00 90.00 120.00
With the nearest neighbours (Å) after each atom.
Positions (direct):
Ce1 0.3333 0.6667 0.0674  4 Ce 3.04-3.34, 9 Ir 3.08-3.12, 3 Ni 3.19
Ce2 0.3333 0.6667 0.4326  4 Ce 3.04-3.34, 9 Ir 3.08-3.12, 3 Ni 3.19
Ce3 0.6667 0.3333 0.5674  4 Ce 3.04-3.34, 9 Ir 3.08-3.12, 3 Ni 3.19
Ce4 0.6667 0.3333 0.9326  4 Ce 3.04-3.34, 9 Ir 3.08-3.12, 3 Ni 3.19
Ni1 0.0000 0.0000 0.0000  6 Ir 2.60
Ni2 0.0000 0.0000 0.5000  6 Ir 2.60
Ir1 0.1658 0.3316 0.7500  2 Ni 2.60, 4 Ir 2.71-2.74
Ir2 0.1658 0.8342 0.7500  2 Ni 2.60, 4 Ir 2.71-2.74
Ir3 0.3316 0.1658 0.2500  2 Ni 2.60, 4 Ir 2.71-2.74
Ir4 0.6684 0.8342 0.7500  2 Ni 2.60, 4 Ir 2.71-2.74
Ir5 0.8342 0.1658 0.2500  2 Ni 2.60, 4 Ir 2.71-2.74
Ir6 0.8342 0.6684 0.2500  2 Ni 2.60, 4 Ir 2.71-2.74